[1]
DFT (PBE) results for an optimized crystal structure of K3NpSn2O9.

* total energy: -6.544 eV/atom
* crystal system: trigonal

Cell: 5.885 5.885 7.198 Å, 90.00 90.00 120.00°
Positions (direct):
K1 0.000 0.000 0.000
K2 0.333 0.667 0.678
K3 0.667 0.333 0.322
Np1 0.000 0.000 0.500
Sn1 0.333 0.667 0.151
Sn2 0.667 0.333 0.849
O1 0.000 0.500 0.000
O2 0.164 0.329 0.339
O3 0.164 0.836 0.339
O4 0.329 0.164 0.661
O5 0.500 0.000 0.000
O6 0.500 0.500 0.000
O7 0.671 0.836 0.339
O8 0.836 0.164 0.661
O9 0.836 0.671 0.661

=====

[2]
DFT (PBE) results for an optimized crystal structure of Zr6RePd.

* E_form: -0.218 eV per atom
* crystal system: tetragonal

Cell: 4.696 4.696 15.049 Å, 90.00 90.00 90.00°
Positions (direct):
Zr1 0.000 0.000 0.246
Zr2 0.000 0.000 0.754
Zr3 0.000 0.500 0.110
Zr4 0.000 0.500 0.390
Zr5 0.000 0.500 0.610
Zr6 0.000 0.500 0.890
Zr7 0.500 0.000 0.110
Zr8 0.500 0.000 0.390
Zr9 0.500 0.000 0.610
Zr10 0.500 0.000 0.890
Zr11 0.500 0.500 0.254
Zr12 0.500 0.500 0.746
Re1 0.000 0.000 0.000
Re2 0.500 0.500 0.500
Pd1 0.000 0.000 0.500
Pd2 0.500 0.500 0.000

=====

[3]
DFT (PBE) results for an optimized crystal structure of Nb2Se17Cl12.

* total energy: -3.797 eV/atom
* crystal system: triclinic

Cell: 11.820 14.180 14.188 Å, 111.07 102.50 97.30°
Positions (direct):
Nb1 0.174 0.498 0.281
Nb2 0.304 0.023 0.731
Nb3 0.696 0.977 0.269
Nb4 0.826 0.502 0.719
Se1 0.052 0.894 0.049
Se2 0.097 0.785 0.135
Se3 0.129 0.165 0.389
Se4 0.147 0.892 0.318
Se5 0.158 0.231 0.573
Se6 0.183 0.411 0.624
Se7 0.249 0.988 0.078
Se8 0.255 0.153 0.190
Se9 0.265 0.735 0.896
Se10 0.315 0.487 0.912
Se11 0.324 0.155 0.374
Se12 0.332 0.665 0.018
Se13 0.340 0.978 0.350
Se14 0.374 0.641 0.664
Se15 0.394 0.462 0.661
Se16 0.440 0.749 0.837
Se17 0.477 0.488 0.845
Se18 0.523 0.512 0.155
Se19 0.560 0.251 0.163
Se20 0.606 0.538 0.339
Se21 0.626 0.359 0.336
Se22 0.660 0.022 0.650
Se23 0.668 0.335 0.982
Se24 0.676 0.845 0.626
Se25 0.685 0.513 0.088
Se26 0.735 0.265 0.104
Se27 0.745 0.847 0.810
Se28 0.751 0.012 0.922
Se29 0.817 0.589 0.376
Se30 0.842 0.769 0.427
Se31 0.853 0.108 0.682
Se32 0.871 0.835 0.611
Se33 0.903 0.215 0.865
Se34 0.948 0.106 0.951
Cl1 0.030 0.533 0.161
Cl2 0.034 0.364 0.283
Cl3 0.130 0.621 0.426
Cl4 0.156 0.997 0.572
Cl5 0.174 0.892 0.749
Cl6 0.219 0.155 0.827
Cl7 0.221 0.375 0.136
Cl8 0.325 0.631 0.285
Cl9 0.327 0.463 0.401
Cl10 0.392 0.892 0.629
Cl11 0.433 0.148 0.704
Cl12 0.444 0.045 0.889
Cl13 0.556 0.955 0.111
Cl14 0.567 0.852 0.296
Cl15 0.608 0.108 0.371
Cl16 0.673 0.537 0.599
Cl17 0.675 0.369 0.715
Cl18 0.779 0.625 0.864
Cl19 0.781 0.845 0.173
Cl20 0.826 0.108 0.251
Cl21 0.844 0.003 0.428
Cl22 0.870 0.379 0.574
Cl23 0.966 0.636 0.717
Cl24 0.970 0.467 0.839

=====

[4]
DFT (PBE) results for an optimized crystal structure of CeYAl2.

* E_form: -0.343 eV per atom
* crystal system: cubic
* energy above the lowest structure with this stoichiometry: 34.6 meV/atom

Cell: 7.285 7.285 7.285 Å, 90.00 90.00 90.00°
Positions (direct):
Ce1 0.000 0.000 0.000
Ce2 0.000 0.500 0.500
Ce3 0.500 0.000 0.500
Ce4 0.500 0.500 0.000
Y1 0.000 0.000 0.500
Y2 0.000 0.500 0.000
Y3 0.500 0.000 0.000
Y4 0.500 0.500 0.500
Al1 0.250 0.250 0.250
Al2 0.250 0.250 0.750
Al3 0.250 0.750 0.250
Al4 0.250 0.750 0.750
Al5 0.750 0.250 0.250
Al6 0.750 0.250 0.750
Al7 0.750 0.750 0.250
Al8 0.750 0.750 0.750